Record 1
Density functional theory data (PBE) for crystalline LaIn4Pd2 at its relaxed geometry.

space-group type: No. 62
total moment: 0.00 μB/f.u.
E above lowest polymorph: 0.0 kJ/mol of atoms
energy of formation from the pure elements: -57 kJ per mole of atoms

Unit cell a=4.6752 b=7.2262 c=18.7772 alpha=90.00 beta=90.00 gamma=90.00
Last column: nearest neighbours and their distance in Å.
Atoms (fractional coordinates):
In  0.7500  0.7301  0.3074  3 Pd 2.75-2.79, 1 In 2.96
In  0.7500  0.8424  0.4655  3 Pd 2.79-2.90, 1 In 3.08
In  0.7500  0.3212  0.3151  4 Pd 2.79-2.85, 1 In 2.96
In  0.2500  0.4976  0.4288  4 Pd 2.76-3.03
Pd  0.7500  0.2558  0.9611  7 In 2.79-3.03
Pd  0.7500  0.0298  0.2176  7 In 2.75-2.85
Pd  0.7500  0.2442  0.4611  7 In 2.79-3.03
In  0.7500  0.6576  0.9655  3 Pd 2.79-2.90, 1 In 3.08
In  0.2500  0.6788  0.6849  4 Pd 2.79-2.85, 1 In 2.96
In  0.2500  0.2699  0.6926  3 Pd 2.75-2.79, 1 In 2.96
In  0.7500  0.7699  0.8074  3 Pd 2.75-2.79, 1 In 2.96
Pd  0.2500  0.5298  0.2824  7 In 2.75-2.85
Pd  0.2500  0.7442  0.0389  7 In 2.79-3.03
Pd  0.7500  0.4702  0.7176  7 In 2.75-2.85
In  0.2500  0.1576  0.5345  3 Pd 2.79-2.90, 1 In 3.08
In  0.2500  0.8212  0.1849  4 Pd 2.79-2.85, 1 In 2.96
La  0.7500  0.5184  0.1401  9 In 3.28-3.58, 4 Pd 3.43-3.55
In  0.2500  0.3424  0.0345  3 Pd 2.79-2.90, 1 In 3.08
In  0.7500  0.5024  0.5712  4 Pd 2.76-3.03
In  0.7500  0.9976  0.0712  4 Pd 2.76-3.03
La  0.2500  0.4816  0.8599  9 In 3.28-3.58, 4 Pd 3.43-3.55
Pd  0.2500  0.9702  0.7824  7 In 2.75-2.85
In  0.2500  0.2301  0.1926  3 Pd 2.75-2.79, 1 In 2.96
In  0.7500  0.1788  0.8151  4 Pd 2.79-2.85, 1 In 2.96
Pd  0.2500  0.7558  0.5389  7 In 2.79-3.03
In  0.2500  0.0024  0.9288  4 Pd 2.76-3.03
La  0.2500  0.0184  0.3599  9 In 3.28-3.58, 4 Pd 3.43-3.55
La  0.7500  0.9816  0.6401  9 In 3.28-3.58, 4 Pd 3.43-3.55


Record 2
Density functional theory data (PBE) for crystalline Pm4GaRh at its relaxed geometry.

space-group type: No. 216
total moment: 0.00 μB/f.u.
E above lowest polymorph: 0.0 kJ/mol of atoms
energy of formation from the pure elements: -46 kJ per mole of atoms

Unit cell a=9.7418 b=9.7418 c=9.7418 alpha=60.00 beta=60.00 gamma=60.00
Last column: nearest neighbours and their distance in Å.
Atoms (fractional coordinates):
Pm  0.5554  0.5554  0.9446  2 Rh 2.87
Pm  0.9446  0.5554  0.5554  2 Rh 2.87
Pm  0.3970  0.3970  0.8091  3 Rh 2.90
Rh  0.1780  0.6073  0.6073  6 Pm 2.87-2.90
Pm  0.3970  0.3970  0.3970  3 Rh 2.90
Pm  0.9446  0.5554  0.9446  2 Rh 2.87
Pm  0.8126  0.8126  0.1874  2 Ga 3.34, 10 Pm 3.52-3.65, 2 Rh 3.52
Pm  0.5554  0.9446  0.9446  2 Rh 2.87
Pm  0.1874  0.8126  0.1874  2 Ga 3.34, 10 Pm 3.52-3.65, 2 Rh 3.52
Pm  0.1874  0.1874  0.8126  2 Ga 3.34, 10 Pm 3.52-3.65, 2 Rh 3.52
Ga  0.1709  0.1709  0.4873  3 Ga 3.08, 6 Pm 3.34-3.38
Pm  0.9446  0.9446  0.5554  2 Rh 2.87
Rh  0.6073  0.6073  0.6073  6 Pm 2.87-2.90
Rh  0.6073  0.6073  0.1780  6 Pm 2.87-2.90
Pm  0.1874  0.8126  0.8126  2 Ga 3.34, 10 Pm 3.52-3.65, 2 Rh 3.52
Pm  0.8091  0.3970  0.3970  3 Rh 2.90
Pm  0.3970  0.8091  0.3970  3 Rh 2.90
Ga  0.4873  0.1709  0.1709  3 Ga 3.08, 6 Pm 3.34-3.38
Ga  0.1709  0.4873  0.1709  3 Ga 3.08, 6 Pm 3.34-3.38
Rh  0.6073  0.1780  0.6073  6 Pm 2.87-2.90
Pm  0.5554  0.9446  0.5554  2 Rh 2.87
Pm  0.8126  0.1874  0.8126  2 Ga 3.34, 10 Pm 3.52-3.65, 2 Rh 3.52
Ga  0.1709  0.1709  0.1709  3 Ga 3.08, 6 Pm 3.34-3.38
Pm  0.8126  0.1874  0.1874  2 Ga 3.34, 10 Pm 3.52-3.65, 2 Rh 3.52


Record 3
Density functional theory data (PBE) for crystalline RePd2Se at its relaxed geometry.

space-group type: No. 122
total moment: 1.05 μB/f.u.
energy relative to the elements, uncorrected: 0.486 eV/atom

Unit cell a=7.1936 b=7.1936 c=5.7010 alpha=50.88 beta=50.88 gamma=90.00
Last column: nearest neighbours and their distance in Å.
Atoms (fractional coordinates):
Pd  0.3750  0.3920  0.7500  2 Se 2.54, 2 Pd 2.59, 2 Re 2.71
Se  0.2500  0.7500  0.5000  4 Pd 2.54, 2 Re 2.57
Se  0.5000  0.5000  0.0000  4 Pd 2.54, 2 Re 2.57
Re  0.7500  0.2500  0.5000  2 Se 2.57, 4 Pd 2.71
Pd  0.8750  0.8580  0.7500  2 Se 2.54, 2 Pd 2.59, 2 Re 2.71
Pd  0.6080  0.1250  0.2500  2 Se 2.54, 2 Pd 2.59, 2 Re 2.71
Pd  0.1420  0.6250  0.2500  2 Se 2.54, 2 Pd 2.59, 2 Re 2.71
Re  0.0000  0.0000  0.0000  2 Se 2.57, 4 Pd 2.71


Record 4
Density functional theory data (PBE) for crystalline Pr2SiPt3 at its relaxed geometry.

space-group type: No. 25
total moment: 0.00 μB/f.u.
energy relative to the elements, uncorrected: -1.067 eV/atom

Unit cell a=3.9716 b=4.2852 c=7.7792 alpha=90.00 beta=90.00 gamma=90.00
Last column: nearest neighbours and their distance in Å.
Atoms (fractional coordinates):
Si  0.5000  0.5000  0.3261  3 Pt 2.38-2.39
Pt  0.5000  0.0000  0.8444  3 Pt 2.70-2.71
Pr  0.0000  0.0000  0.5110  8 Pt 3.07-3.27, 4 Si 3.26
Pr  0.0000  0.5000  0.9953  10 Pt 3.15-3.45, 2 Si 3.25
Pt  0.5000  0.0000  0.1912  2 Si 2.39
Pt  0.5000  0.5000  0.6319  1 Si 2.38


Record 5
Density functional theory data (PBE) for crystalline LuHfRh2 at its relaxed geometry.

space-group type: No. 166
total moment: 0.00 μB/f.u.
energy of formation from the pure elements: -57 kJ per mole of atoms

Unit cell a=3.3542 b=3.3542 c=8.1253 alpha=78.09 beta=78.09 gamma=60.00
Last column: nearest neighbours and their distance in Å.
Atoms (fractional coordinates):
Rh  0.2538  0.2538  0.2386  3 Hf 2.70, 3 Lu 2.83
Lu  0.5000  0.5000  0.5000  6 Rh 2.83
Hf  0.0000  0.0000  0.0000  6 Rh 2.70
Rh  0.7462  0.7462  0.7614  3 Hf 2.70, 3 Lu 2.83


Record 6
Density functional theory data (PBE) for crystalline MnVGa at its relaxed geometry.

space-group type: No. 156
total moment: 0.80 μB/f.u.
energy of formation from the pure elements: -14 kJ per mole of atoms

Unit cell a=2.6312 b=4.1326 c=4.1326 alpha=120.00 beta=90.00 gamma=90.00
Last column: nearest neighbours and their distance in Å.
Atoms (fractional coordinates):
V  0.2786  0.6667  0.3333  3 Mn 2.48, 3 Ga 2.63, 2 V 2.63
Mn  0.0231  0.0000  0.0000  3 V 2.48, 3 Ga 2.53, 2 Mn 2.63
Ga  0.6983  0.3333  0.6667  3 Mn 2.53, 6 V 2.63-2.83, 2 Ga 2.63


Record 7
Density functional theory data (PBE) for crystalline TiZn6Pd at its relaxed geometry.

space-group type: No. 38
total moment: 0.01 μB/f.u.
E above lowest polymorph: 7.1 kJ/mol of atoms
energy of formation from the pure elements: -19 kJ per mole of atoms

Unit cell a=4.2989 b=5.5274 c=5.5274 alpha=115.22 beta=90.00 gamma=90.00
Last column: nearest neighbours and their distance in Å.
Atoms (fractional coordinates):
Zn  0.0000  0.5795  0.4205  8 Zn 2.65-2.79, 2 Pd 2.77
Zn  0.5000  0.4248  0.1108  7 Zn 2.65-2.85, 2 Pd 2.71-2.83, 2 Ti 2.71
Zn  0.0000  0.0680  0.3855  7 Zn 2.65-2.79, 2 Ti 2.72-2.82, 2 Pd 2.73
Zn  0.5000  0.8892  0.5752  7 Zn 2.65-2.85, 2 Pd 2.71-2.83, 2 Ti 2.71
Zn  0.5000  0.9249  0.0751  8 Zn 2.65-2.85, 2 Ti 2.74
Ti  0.0000  0.1066  0.8934  12 Zn 2.71-2.97
Zn  0.0000  0.6145  0.9320  7 Zn 2.65-2.79, 2 Ti 2.72-2.82, 2 Pd 2.73
Pd  0.5000  0.3922  0.6078  12 Zn 2.71-2.98


Record 8
Density functional theory data (PBE) for crystalline TaAlMo2 at its relaxed geometry.

space-group type: No. 44
total moment: 0.00 μB/f.u.
energy of formation from the pure elements: -16 kJ per mole of atoms

Unit cell a=5.2675 b=5.2675 c=4.4541 alpha=65.05 beta=65.05 gamma=36.00
Last column: nearest neighbours and their distance in Å.
Atoms (fractional coordinates):
Ta  0.4876  0.4876  0.5123  6 Mo 2.73-2.77, 4 Al 2.91-3.04
Mo  0.0125  0.0125  0.9878  2 Mo 2.63, 4 Ta 2.77, 2 Al 2.82
Al  0.2567  0.2567  0.2432  6 Mo 2.76-2.82, 4 Ta 2.91-3.04
Mo  0.7432  0.7432  0.7567  2 Mo 2.63, 2 Ta 2.73, 4 Al 2.76


Record 9
Density functional theory data (PBE) for crystalline In4IrI2 at its relaxed geometry.

space-group type: No. 139
total moment: 0.00 μB/f.u.
energy relative to the elements, uncorrected: -0.243 eV/atom

Unit cell a=5.1864 b=5.1864 c=9.6694 alpha=74.44 beta=74.44 gamma=90.00
Last column: nearest neighbours and their distance in Å.
Atoms (fractional coordinates):
In  0.5000  0.0000  0.0000  2 Ir 2.59
In  0.0000  0.5000  0.0000  2 Ir 2.59
I  0.6732  0.6732  0.6536  1 In 3.19
In  0.1483  0.1483  0.7034  1 Ir 2.65
Ir  0.0000  0.0000  0.0000  6 In 2.59-2.65
In  0.8517  0.8517  0.2966  1 Ir 2.65
I  0.3268  0.3268  0.3464  1 In 3.19


Record 10
Density functional theory data (PBE) for crystalline Sr2YGa3Au12 at its relaxed geometry.

space-group type: No. 166
total moment: 0.00 μB/f.u.
energy of formation from the pure elements: -29 kJ per mole of atoms

Unit cell a=11.1535 b=11.1535 c=11.1535 alpha=35.93 beta=35.93 gamma=35.93
Last column: nearest neighbours and their distance in Å.
Atoms (fractional coordinates):
Au  0.8169  0.4075  0.4075  2 Ga 2.58, 2 Au 2.82
Y  0.0000  0.0000  0.0000  6 Au 2.91
Sr  0.6373  0.6373  0.6373  12 Au 3.26-3.57
Au  0.4363  0.8704  0.8704  4 Au 2.90-2.99, 1 Y 2.91
Ga  0.0000  0.0000  0.5000  4 Au 2.58
Ga  0.0000  0.5000  0.0000  4 Au 2.58
Au  0.1831  0.5925  0.5925  2 Ga 2.58, 2 Au 2.82
Ga  0.5000  0.0000  0.0000  4 Au 2.58
Sr  0.3627  0.3627  0.3627  12 Au 3.26-3.57
Au  0.5925  0.5925  0.1831  2 Ga 2.58, 2 Au 2.82
Au  0.5925  0.1831  0.5925  2 Ga 2.58, 2 Au 2.82
Au  0.4075  0.4075  0.8169  2 Ga 2.58, 2 Au 2.82
Au  0.5637  0.1296  0.1296  4 Au 2.90-2.99, 1 Y 2.91
Au  0.4075  0.8169  0.4075  2 Ga 2.58, 2 Au 2.82
Au  0.8704  0.4363  0.8704  4 Au 2.90-2.99, 1 Y 2.91
Au  0.1296  0.1296  0.5637  4 Au 2.90-2.99, 1 Y 2.91
Au  0.8704  0.8704  0.4363  4 Au 2.90-2.99, 1 Y 2.91
Au  0.1296  0.5637  0.1296  4 Au 2.90-2.99, 1 Y 2.91


Record 11
Density functional theory data (PBE) for crystalline RbSn12 at its relaxed geometry.

space-group type: No. 221
total moment: 0.00 μB/f.u.
E above lowest polymorph: 0.0 kJ/mol of atoms
energy of formation from the pure elements: 3 kJ per mole of atoms

Unit cell a=8.1987 b=8.1987 c=8.1987 alpha=90.00 beta=90.00 gamma=90.00
Last column: nearest neighbours and their distance in Å.
Atoms (fractional coordinates):
Sn  0.2515  0.5000  0.0000  4 Sn 2.88-2.92
Sn  0.0000  0.5000  0.2515  4 Sn 2.88-2.92
Sn  0.2515  0.0000  0.5000  4 Sn 2.88-2.92
Sn  0.0000  0.5000  0.7485  4 Sn 2.88-2.92
Sn  0.5000  0.0000  0.7485  4 Sn 2.88-2.92
Sn  0.0000  0.7485  0.5000  4 Sn 2.88-2.92
Rb  0.5000  0.5000  0.5000  24 Sn 4.58
Sn  0.0000  0.2515  0.5000  4 Sn 2.88-2.92
Sn  0.7485  0.5000  0.0000  4 Sn 2.88-2.92
Sn  0.5000  0.2515  0.0000  4 Sn 2.88-2.92
Sn  0.7485  0.0000  0.5000  4 Sn 2.88-2.92
Sn  0.5000  0.7485  0.0000  4 Sn 2.88-2.92
Sn  0.5000  0.0000  0.2515  4 Sn 2.88-2.92


Record 12
Density functional theory data (PBE) for crystalline LaMnRh at its relaxed geometry.

space-group type: No. 216
total moment: 4.59 μB/f.u.
E above lowest polymorph: 14.8 kJ/mol of atoms
energy of formation from the pure elements: -8 kJ per mole of atoms

Unit cell a=4.6875 b=4.6875 c=4.6875 alpha=60.00 beta=60.00 gamma=60.00
Last column: nearest neighbours and their distance in Å.
Atoms (fractional coordinates):
Rh  0.7500  0.7500  0.7500  4 La 2.87, 4 Mn 2.87
Mn  0.5000  0.5000  0.5000  4 Rh 2.87
La  0.0000  0.0000  0.0000  4 Rh 2.87


- Among the records above, which one has the highest total moment?
  LaMnRh